(1)
This record from Alexandria via LeMat-Bulk describes a geometry-optimized SrPt2Pb4 structure. The functional is PBE.

Output
ΔE to the lowest computed polymorph = 126.0 meV per atom
magnetic moment = 0.00 μB per cell
space group = Cmmm, No. 65
DFT formation energy = -1.94 eV per formula unit

Geometry as CIF:
```
data_SrPt2Pb4
_chemical_formula_sum 'Sr1 Pt2 Pb4'
_cell_length_a 9.425
_cell_length_b 9.425
_cell_length_c 4.591
_cell_angle_alpha 90.00
_cell_angle_beta 90.00
_cell_angle_gamma 151.49
_symmetry_space_group_name_H-M 'P 1'
_symmetry_Int_Tables_number 1
loop_
_symmetry_equiv_pos_as_xyz
'x,y,z'
loop_
_atom_site_label
_atom_site_fract_x
_atom_site_fract_y
_atom_site_fract_z
Sr1 0.000 0.000 0.000
Pt1 0.429 0.571 0.500
Pt2 0.571 0.429 0.500
Pb1 0.166 0.834 0.500
Pb2 0.325 0.675 0.000
Pb3 0.675 0.325 0.000
Pb4 0.834 0.166 0.500
```

=====

(2)
This record from Alexandria via LeMat-Bulk describes a geometry-optimized PrHo2Pu structure. The functional is PBE.

Output
ΔE to the lowest computed polymorph = 0.0 meV per atom
magnetic moment = 6.48 μB per cell
space group = P4/mmm, No. 123
DFT formation energy = 0.41 eV per formula unit

Geometry as CIF:
```
data_PrHo2Pu
_chemical_formula_sum 'Pr1 Ho2 Pu1'
_cell_length_a 3.531
_cell_length_b 3.531
_cell_length_c 10.044
_cell_angle_alpha 90.00
_cell_angle_beta 90.00
_cell_angle_gamma 90.00
_symmetry_space_group_name_H-M 'P 1'
_symmetry_Int_Tables_number 1
loop_
_symmetry_equiv_pos_as_xyz
'x,y,z'
loop_
_atom_site_label
_atom_site_fract_x
_atom_site_fract_y
_atom_site_fract_z
Pr1 0.000 0.000 0.000
Ho1 0.500 0.500 0.262
Ho2 0.500 0.500 0.738
Pu1 0.000 0.000 0.500
```

=====

(3)
This record from Alexandria via LeMat-Bulk describes a geometry-optimized TbPm14Y structure. The functional is PBE.

Output
magnetic moment = 0.00 μB per cell
space group = P4/mmm, No. 123
DFT formation energy = 0.23 eV per formula unit

Geometry as CIF:
```
data_TbPm14Y
_chemical_formula_sum 'Tb1 Pm14 Y1'
_cell_length_a 7.291
_cell_length_b 7.291
_cell_length_c 10.281
_cell_angle_alpha 90.00
_cell_angle_beta 90.00
_cell_angle_gamma 90.00
_symmetry_space_group_name_H-M 'P 1'
_symmetry_Int_Tables_number 1
loop_
_symmetry_equiv_pos_as_xyz
'x,y,z'
loop_
_atom_site_label
_atom_site_fract_x
_atom_site_fract_y
_atom_site_fract_z
Tb1 0.000 0.000 0.000
Pm1 0.000 0.000 0.500
Pm2 0.000 0.500 0.000
Pm3 0.000 0.500 0.500
Pm4 0.250 0.250 0.249
Pm5 0.250 0.250 0.751
Pm6 0.250 0.750 0.249
Pm7 0.250 0.750 0.751
Pm8 0.500 0.000 0.000
Pm9 0.500 0.000 0.500
Pm10 0.500 0.500 0.500
Pm11 0.750 0.250 0.249
Pm12 0.750 0.250 0.751
Pm13 0.750 0.750 0.249
Pm14 0.750 0.750 0.751
Y1 0.500 0.500 0.000
```

=====

(4)
This record from Alexandria via LeMat-Bulk describes a geometry-optimized K4Rb5Na6 structure. The functional is PBE.

Output
magnetic moment = 0.00 μB per cell
space group = Cmc2_1, No. 36
DFT formation energy = 0.62 eV per formula unit

Geometry as CIF:
```
data_K4Rb5Na6
_chemical_formula_sum 'K8 Rb10 Na12'
_cell_length_a 17.496
_cell_length_b 17.496
_cell_length_c 23.094
_cell_angle_alpha 90.00
_cell_angle_beta 90.00
_cell_angle_gamma 164.28
_symmetry_space_group_name_H-M 'P 1'
_symmetry_Int_Tables_number 1
loop_
_symmetry_equiv_pos_as_xyz
'x,y,z'
loop_
_atom_site_label
_atom_site_fract_x
_atom_site_fract_y
_atom_site_fract_z
K1 0.022 0.978 0.500
K2 0.068 0.932 0.784
K3 0.112 0.888 0.281
K4 0.181 0.819 0.944
K5 0.819 0.181 0.444
K6 0.888 0.112 0.781
K7 0.932 0.068 0.284
K8 0.978 0.022 0.000
Rb1 0.201 0.799 0.588
Rb2 0.313 0.687 0.267
Rb3 0.328 0.672 0.626
Rb4 0.369 0.631 0.946
Rb5 0.476 0.524 0.665
Rb6 0.524 0.476 0.165
Rb7 0.631 0.369 0.446
Rb8 0.672 0.328 0.126
Rb9 0.687 0.313 0.767
Rb10 0.799 0.201 0.088
Na1 0.088 0.912 0.049
Na2 0.228 0.772 0.407
Na3 0.288 0.712 0.796
Na4 0.404 0.596 0.127
Na5 0.425 0.575 0.433
Na6 0.479 0.521 0.853
Na7 0.521 0.479 0.353
Na8 0.575 0.425 0.933
Na9 0.596 0.404 0.627
Na10 0.712 0.288 0.296
Na11 0.772 0.228 0.907
Na12 0.912 0.088 0.549
```

=====

(5)
This record from Alexandria via LeMat-Bulk describes a geometry-optimized Ba2Li3BiF12 structure. The functional is PBE.

Output
magnetic moment = 1.01 μB per cell
space group = R-3m, No. 166
E_form (uncorrected) = -2.72 eV per atom

Geometry as CIF:
```
data_Ba2Li3BiF12
_chemical_formula_sum 'Ba2 Li3 Bi1 F12'
_cell_length_a 7.664
_cell_length_b 7.664
_cell_length_c 7.664
_cell_angle_alpha 52.09
_cell_angle_beta 52.09
_cell_angle_gamma 52.09
_symmetry_space_group_name_H-M 'P 1'
_symmetry_Int_Tables_number 1
loop_
_symmetry_equiv_pos_as_xyz
'x,y,z'
loop_
_atom_site_label
_atom_site_fract_x
_atom_site_fract_y
_atom_site_fract_z
Ba1 0.100 0.100 0.100
Ba2 0.900 0.900 0.900
Li1 0.000 0.500 0.500
Li2 0.500 0.000 0.500
Li3 0.500 0.500 0.000
Bi1 0.500 0.500 0.500
F1 0.105 0.639 0.639
F2 0.227 0.227 0.647
F3 0.227 0.647 0.227
F4 0.353 0.773 0.773
F5 0.361 0.361 0.895
F6 0.361 0.895 0.361
F7 0.639 0.105 0.639
F8 0.639 0.639 0.105
F9 0.647 0.227 0.227
F10 0.773 0.353 0.773
F11 0.773 0.773 0.353
F12 0.895 0.361 0.361
```

=====

(6)
This record from Alexandria via LeMat-Bulk describes a geometry-optimized Sr2CaBi2 structure. The functional is PBE.

Output
ΔE to the lowest computed polymorph = 59.7 meV per atom
magnetic moment = 0.00 μB per cell
space group = P4/mbm, No. 127
DFT formation energy = -3.91 eV per formula unit

Geometry as CIF:
```
data_Sr2CaBi2
_chemical_formula_sum 'Sr4 Ca2 Bi4'
_cell_length_a 9.023
_cell_length_b 9.023
_cell_length_c 4.618
_cell_angle_alpha 90.00
_cell_angle_beta 90.00
_cell_angle_gamma 90.00
_symmetry_space_group_name_H-M 'P 1'
_symmetry_Int_Tables_number 1
loop_
_symmetry_equiv_pos_as_xyz
'x,y,z'
loop_
_atom_site_label
_atom_site_fract_x
_atom_site_fract_y
_atom_site_fract_z
Sr1 0.140 0.360 0.000
Sr2 0.360 0.860 0.000
Sr3 0.640 0.140 0.000
Sr4 0.860 0.640 0.000
Ca1 0.000 0.000 0.500
Ca2 0.500 0.500 0.500
Bi1 0.166 0.666 0.500
Bi2 0.334 0.166 0.500
Bi3 0.666 0.834 0.500
Bi4 0.834 0.334 0.500
```

=====

(7)
This record from Alexandria via LeMat-Bulk describes a geometry-optimized ScCuSi2Rh structure. The functional is PBE.

Output
magnetic moment = 0.00 μB per cell
space group = I-4m2, No. 119
E_form (uncorrected) = -0.72 eV per atom

Geometry as CIF:
```
data_ScCuSi2Rh
_chemical_formula_sum 'Sc1 Cu1 Si2 Rh1'
_cell_length_a 5.753
_cell_length_b 5.753
_cell_length_c 5.753
_cell_angle_alpha 140.55
_cell_angle_beta 140.55
_cell_angle_gamma 57.01
_symmetry_space_group_name_H-M 'P 1'
_symmetry_Int_Tables_number 1
loop_
_symmetry_equiv_pos_as_xyz
'x,y,z'
loop_
_atom_site_label
_atom_site_fract_x
_atom_site_fract_y
_atom_site_fract_z
Sc1 0.000 0.000 0.000
Cu1 0.250 0.750 0.500
Si1 0.387 0.387 0.000
Si2 0.613 0.613 0.000
Rh1 0.750 0.250 0.500
```

=====

(8)
This record from Alexandria via LeMat-Bulk describes a geometry-optimized MgTe structure. The functional is PBE.

Output
magnetic moment = 0.00 μB per cell
space group = P4/nmm, No. 129
E_form (uncorrected) = -0.15 eV per atom

Geometry as CIF:
```
data_MgTe
_chemical_formula_sum 'Mg2 Te2'
_cell_length_a 3.304
_cell_length_b 3.304
_cell_length_c 10.360
_cell_angle_alpha 90.00
_cell_angle_beta 90.00
_cell_angle_gamma 90.00
_symmetry_space_group_name_H-M 'P 1'
_symmetry_Int_Tables_number 1
loop_
_symmetry_equiv_pos_as_xyz
'x,y,z'
loop_
_atom_site_label
_atom_site_fract_x
_atom_site_fract_y
_atom_site_fract_z
Mg1 0.250 0.250 0.113
Mg2 0.750 0.750 0.887
Te1 0.250 0.250 0.686
Te2 0.750 0.750 0.314
```

=====

(9)
This record from Alexandria via LeMat-Bulk describes a geometry-optimized SrZnS2O8 structure. The functional is PBE.

Output
magnetic moment = 0.00 μB per cell
space group = R-3, No. 148
E_form (uncorrected) = -1.78 eV per atom

Geometry as CIF:
```
data_SrZnS2O8
_chemical_formula_sum 'Sr1 Zn1 S2 O8'
_cell_length_a 7.798
_cell_length_b 7.798
_cell_length_c 7.798
_cell_angle_alpha 36.19
_cell_angle_beta 36.19
_cell_angle_gamma 36.19
_symmetry_space_group_name_H-M 'P 1'
_symmetry_Int_Tables_number 1
loop_
_symmetry_equiv_pos_as_xyz
'x,y,z'
loop_
_atom_site_label
_atom_site_fract_x
_atom_site_fract_y
_atom_site_fract_z
Sr1 0.000 0.000 0.000
Zn1 0.500 0.500 0.500
S1 0.246 0.246 0.246
S2 0.754 0.754 0.754
O1 0.071 0.767 0.485
O2 0.233 0.515 0.929
O3 0.315 0.315 0.315
O4 0.485 0.071 0.767
O5 0.515 0.929 0.233
O6 0.685 0.685 0.685
O7 0.767 0.485 0.071
O8 0.929 0.233 0.515
```

=====

(10)
This record from Alexandria via LeMat-Bulk describes a geometry-optimized NpInSbAu structure. The functional is PBE.

Output
ΔE to the lowest computed polymorph = 0.0 meV per atom
magnetic moment = 4.17 μB per cell
space group = Pmmm, No. 47
E_form (uncorrected) = -0.19 eV per atom

Geometry as CIF:
```
data_NpInSbAu
_chemical_formula_sum 'Np1 In1 Sb1 Au1'
_cell_length_a 4.293
_cell_length_b 4.428
_cell_length_c 5.019
_cell_angle_alpha 90.00
_cell_angle_beta 90.00
_cell_angle_gamma 90.00
_symmetry_space_group_name_H-M 'P 1'
_symmetry_Int_Tables_number 1
loop_
_symmetry_equiv_pos_as_xyz
'x,y,z'
loop_
_atom_site_label
_atom_site_fract_x
_atom_site_fract_y
_atom_site_fract_z
Np1 0.000 0.000 0.000
In1 0.000 0.500 0.500
Sb1 0.500 0.500 0.000
Au1 0.500 0.000 0.500
```

=====

Q: Look up the magnetic moment of the tenth one.
A: 4.17 μB per cell

=====

Q: Look up the magnetic moment of the fourth one.
A: 0.00 μB per cell